Entry 1:
Computed, not measured: crystalline DyCdPtPb at its relaxed geometry at the PBE level of DFT.

Cell and atoms, written as POSCAR:
```
DyCdPtPb
1.0
7.126 0.000 0.000
0.000 7.126 0.000
0.000 0.000 7.126
Dy Cd Pt Pb
4 4 4 4
Cartesian
0.000 0.000 0.000
0.000 3.563 3.563
3.563 0.000 3.563
3.563 3.563 0.000
1.782 1.782 1.782
1.782 5.345 5.345
5.345 1.782 5.345
5.345 5.345 1.782
1.782 1.782 5.345
1.782 5.345 1.782
5.345 1.782 1.782
5.345 5.345 5.345
0.000 0.000 3.563
0.000 3.563 0.000
3.563 0.000 0.000
3.563 3.563 3.563
```

Values from the calculation:
As for the space-group type: F-43m (216). The total moment comes out at 0.000 μB per formula unit. The formation energy from the elements comes out at -0.460 eV per atom.



Entry 2:
Computed, not measured: crystalline ScPaRu at its relaxed geometry at the PBE level of DFT.

Cell and atoms, written as POSCAR:
```
ScPaRu
1.0
6.536 0.000 0.000
0.000 6.536 0.000
0.000 0.000 6.536
Sc Pa Ru
4 4 4
Cartesian
0.000 0.000 0.000
0.000 3.268 3.268
3.268 0.000 3.268
3.268 3.268 0.000
0.000 0.000 3.268
0.000 3.268 0.000
3.268 0.000 0.000
3.268 3.268 3.268
1.634 1.634 1.634
1.634 4.902 4.902
4.902 1.634 4.902
4.902 4.902 1.634
```

Values from the calculation:
As for the space-group type: F-43m (216). The total moment comes out at 0.592 μB per formula unit. The formation energy from the elements comes out at -0.107 eV per atom.